Entry 1:
Compound: MnNi2AgPb
Source: Alexandria
Functional: PBE-GGA
Structure: optimized geometry

a b c (Å): 4.7963 5.0836 4.7963
angles (deg): 90.00 90.00 90.00
With the nearest neighbours (Å) after each atom.
Fractional coordinates of all 5 atoms:
Mn  0.0000  0.5000  0.0000  2 Pb 2.54
Ag  0.5000  0.5000  0.5000  4 Mn 3.39, 8 Ni 3.49
Ni  0.0000  0.0000  0.5000  2 Pb 2.40
Ni  0.5000  0.0000  0.0000  2 Pb 2.40
Pb  0.0000  0.0000  0.0000  4 Ni 2.40, 2 Mn 2.54

Summary:
Energy in eV/atom: -4.203
Formation enthalpy at 0 K in eV per atom: 1.26
N(E_F) in states/eV per cell: 4.4

Entry 2:
Compound: Dy4Y3Ni4
Source: Alexandria
Functional: PBE-GGA
Structure: optimized geometry

a b c (Å): 4.5306 7.5059 8.6405
angles (deg): 115.74 105.20 90.00
With the nearest neighbours (Å) after each atom.
Fractional coordinates of all 11 atoms:
Dy  0.3310  0.1192  0.6619  4 Ni 2.70-2.83
Dy  0.6690  0.4573  0.3381  4 Ni 2.70-2.83
Dy  0.3310  0.5427  0.6619  4 Ni 2.70-2.83
Dy  0.6690  0.8808  0.3381  4 Ni 2.70-2.83
Ni  0.5000  0.1585  0.0000  1 Ni 2.38
Ni  0.2087  0.7087  0.4174  6 Dy 2.83, 1 Y 3.11
Ni  0.7913  0.2913  0.5826  6 Dy 2.83, 1 Y 3.11
Ni  0.5000  0.8415  0.0000  1 Ni 2.38
Y  0.0000  0.5000  0.0000  6 Ni 3.11-3.42
Y  0.1051  0.1051  0.2103  4 Ni 3.00, 1 Y 3.13, 4 Dy 3.27
Y  0.8949  0.8949  0.7897  4 Ni 3.00, 1 Y 3.13, 4 Dy 3.27

Summary:
Energy in eV/atom: -5.760
Formation enthalpy at 0 K in eV per atom: -0.22
N(E_F) in states/eV per cell: 12.5

Entry 3:
Compound: MnCu3Pt12
Source: Alexandria
Functional: PBE-GGA
Structure: optimized geometry

a b c (Å): 3.9028 3.9028 15.6906
angles (deg): 90.00 90.00 90.00
With the nearest neighbours (Å) after each atom.
Fractional coordinates of all 16 atoms:
Pt  0.5000  0.0000  0.3754  4 Cu 2.76, 8 Pt 2.76
Pt  0.5000  0.5000  0.2507  4 Cu 2.76, 8 Pt 2.76-2.77
Pt  0.0000  0.5000  0.1258  8 Pt 2.76-2.78, 2 Cu 2.77, 2 Mn 2.78
Pt  0.0000  0.5000  0.6246  4 Cu 2.76, 8 Pt 2.76
Pt  0.5000  0.0000  0.6246  4 Cu 2.76, 8 Pt 2.76
Pt  0.5000  0.5000  0.5000  4 Cu 2.76, 8 Pt 2.76
Pt  0.5000  0.5000  0.7493  4 Cu 2.76, 8 Pt 2.76-2.77
Pt  0.5000  0.0000  0.8742  8 Pt 2.76-2.78, 2 Cu 2.77, 2 Mn 2.78
Pt  0.5000  0.0000  0.1258  8 Pt 2.76-2.78, 2 Cu 2.77, 2 Mn 2.78
Pt  0.0000  0.5000  0.3754  4 Cu 2.76, 8 Pt 2.76
Pt  0.5000  0.5000  0.0000  4 Mn 2.76, 8 Pt 2.78
Pt  0.0000  0.5000  0.8742  8 Pt 2.76-2.78, 2 Cu 2.77, 2 Mn 2.78
Cu  0.0000  0.0000  0.7486  12 Pt 2.76-2.77
Cu  0.0000  0.0000  0.5000  12 Pt 2.76
Cu  0.0000  0.0000  0.2514  12 Pt 2.76-2.77
Mn  0.0000  0.0000  0.0000  12 Pt 2.76-2.78

Summary:
Energy in eV/atom: -6.052
Formation enthalpy at 0 K in eV per atom: -0.18
N(E_F) in states/eV per cell: 15.5

Entry 4:
Compound: YSb2TeI
Source: Alexandria
Functional: PBE-GGA
Structure: optimized geometry

a b c (Å): 5.9695 5.9695 5.6505
angles (deg): 90.00 90.00 90.00
With the nearest neighbours (Å) after each atom.
Fractional coordinates of all 5 atoms:
I  0.0000  0.0000  0.5000  2 Y 2.83
Y  0.0000  0.0000  0.0000  2 I 2.83, 4 Sb 2.98
Sb  0.0000  0.5000  0.0000  2 Y 2.98
Sb  0.5000  0.0000  0.0000  2 Y 2.98
Te  0.5000  0.5000  0.5000  8 Sb 4.11, 4 I 4.22

Summary:
Energy in eV/atom: -3.714
N(E_F) in states/eV per cell: 5.0
Formation energy (no corrections) in kJ/mol of atoms: 16.0

Entry 5:
Compound: CaPr14Ho
Source: Alexandria
Functional: PBE-GGA
Structure: optimized geometry

a b c (Å): 7.4313 7.4313 10.4510
angles (deg): 90.00 90.00 90.00
With the nearest neighbours (Å) after each atom.
Fractional coordinates of all 16 atoms:
Pr  0.1210  0.3710  0.2510  10 Pr 3.66-3.78, 1 Ho 3.68, 1 Ca 3.74
Pr  0.8749  0.6248  0.0000  8 Pr 3.71, 2 Ca 3.72, 2 Ho 3.72
Pr  0.1210  0.3710  0.7490  10 Pr 3.66-3.78, 1 Ho 3.68, 1 Ca 3.74
Pr  0.8752  0.6251  0.5000  12 Pr 3.70-3.72
Pr  0.6290  0.8790  0.7490  10 Pr 3.66-3.78, 1 Ho 3.68, 1 Ca 3.74
Pr  0.6290  0.3710  0.7491  10 Pr 3.66-3.78, 1 Ho 3.68, 1 Ca 3.74
Pr  0.1209  0.8791  0.2511  10 Pr 3.66-3.78, 1 Ho 3.68, 1 Ca 3.74
Pr  0.6290  0.8790  0.2510  10 Pr 3.66-3.78, 1 Ho 3.68, 1 Ca 3.74
Pr  0.3749  0.1248  0.5000  12 Pr 3.70-3.72
Pr  0.1209  0.8791  0.7489  10 Pr 3.66-3.78, 1 Ho 3.68, 1 Ca 3.74
Pr  0.3752  0.6248  0.5000  12 Pr 3.72-3.73
Pr  0.6290  0.3710  0.2509  10 Pr 3.66-3.78, 1 Ho 3.68, 1 Ca 3.74
Pr  0.3752  0.1251  0.0000  8 Pr 3.71, 2 Ca 3.72, 2 Ho 3.72
Pr  0.8750  0.1250  0.5000  12 Pr 3.67-3.72
Ca  0.3748  0.6252  0.0000  12 Pr 3.72-3.74
Ho  0.8752  0.1248  0.0000  12 Pr 3.68-3.72

Summary:
Energy in eV/atom: -4.573
Formation enthalpy at 0 K in eV per atom: 0.02
N(E_F) in states/eV per cell: 22.2

Entry 6:
Compound: TaBeCu2
Source: Alexandria
Functional: PBE-GGA
Structure: optimized geometry

a b c (Å): 4.3694 4.3694 4.8823
angles (deg): 77.93 77.93 35.00
With the nearest neighbours (Å) after each atom.
Fractional coordinates of all 4 atoms:
Cu  0.9890  0.9890  0.0170  2 Be 2.31, 3 Cu 2.52-2.54
Cu  0.7421  0.7421  0.7913  2 Be 2.40, 5 Cu 2.52-2.63, 1 Ta 2.67
Ta  0.5071  0.5071  0.4977  2 Ta 2.63, 3 Be 2.66-2.78, 7 Cu 2.67-2.83
Be  0.2618  0.2618  0.1939  4 Cu 2.31-2.40

Summary:
Energy in eV/atom: -5.730
Formation enthalpy at 0 K in eV per atom: 0.21
N(E_F) in states/eV per cell: 1.9

Which value of N(E_F) does entry 4 give?
5.0 states/eV per cell